Entry 1:
# Hf2InCo | Alexandria via LeMat-Bulk | PBE | relaxed
# energy relative to the elements = 119 meV per atom
data_Hf2InCo
_chemical_formula_sum 'Hf8 In4 Co4'
_space_group_name_H-M_alt 'I -4 2 d'
_space_group_IT_number 122
_space_group_name_Hall 'I -4 2bw'
_cell_length_a 7.450
_cell_length_b 7.450
_cell_length_c 5.819
_cell_angle_alpha 90.00
_cell_angle_beta 90.00
_cell_angle_gamma 90.00
loop_
_atom_site_label
_atom_site_fract_x
_atom_site_fract_y
_atom_site_fract_z
Hf1 0.190 0.750 0.125
In1 0.000 0.000 0.500
Co1 0.000 0.000 0.000

=====

Entry 2:
# Ac8Ir5 | Alexandria via LeMat-Bulk | PBE | relaxed
# energy relative to the elements = -599 meV per atom
data_Ac8Ir5
_chemical_formula_sum 'Ac16 Ir10'
_space_group_name_H-M_alt 'C 1 2/m 1'
_space_group_IT_number 12
_cell_length_a 13.849
_cell_length_b 8.770
_cell_length_c 10.242
_cell_angle_alpha 90.00
_cell_angle_beta 132.24
_cell_angle_gamma 90.00
loop_
_space_group_symop_operation_xyz
'x,y,z'
'-x,-y,-z'
'-x,y,-z'
'x,-y,z'
'x+1/2,y+1/2,z'
'-x+1/2,-y+1/2,-z'
'-x+1/2,y+1/2,-z'
'x+1/2,-y+1/2,z'
loop_
_atom_site_label
_atom_site_fract_x
_atom_site_fract_y
_atom_site_fract_z
Ac1 0.025 0.000 0.322
Ac2 0.031 0.500 0.335
Ac3 0.214 0.242 0.164
Ir1 0.000 0.000 0.000
Ir2 0.000 0.252 0.500
Ir3 0.242 0.500 0.997

=====

Entry 3:
# Sn3GeBi | Alexandria via LeMat-Bulk | PBE | relaxed
# distance to the lowest polymorph of the same formula = 0.000 eV/atom
# energy relative to the elements = 394 meV per atom
data_Sn3GeBi
_chemical_formula_sum 'Sn3 Ge1 Bi1'
_space_group_name_H-M_alt 'P m -3 m'
_space_group_IT_number 221
_space_group_name_Hall '-P 4 2 3'
_cell_length_a 5.388
_cell_length_b 5.388
_cell_length_c 5.388
_cell_angle_alpha 90.00
_cell_angle_beta 90.00
_cell_angle_gamma 90.00
loop_
_atom_site_label
_atom_site_fract_x
_atom_site_fract_y
_atom_site_fract_z
Sn1 0.000 0.000 0.500
Ge1 0.000 0.000 0.000
Bi1 0.500 0.500 0.500

=====

Entry 4:
# HoTl2CdF6 | Alexandria via LeMat-Bulk | PBE | relaxed
# formation energy (no corrections) = -2.575 eV/atom
data_HoTl2CdF6
_chemical_formula_sum 'Ho2 Tl4 Cd2 F12'
_space_group_name_H-M_alt 'P m m n'
_space_group_IT_number 59
_cell_length_a 6.490
_cell_length_b 9.189
_cell_length_c 6.489
_cell_angle_alpha 90.00
_cell_angle_beta 90.00
_cell_angle_gamma 90.00
loop_
_space_group_symop_operation_xyz
'x,y,z'
'-x,-y,-z'
'-x+1/2,-y+1/2,z'
'x+1/2,y+1/2,-z'
'x+1/2,-y,-z'
'-x+1/2,y,z'
'-x,y+1/2,-z'
'x,-y+1/2,z'
loop_
_atom_site_label
_atom_site_fract_x
_atom_site_fract_y
_atom_site_fract_z
Ho1 0.250 0.250 0.248
Tl1 0.250 0.001 0.750
Cd1 0.250 0.750 0.252
F1 0.013 0.250 0.485
F2 0.014 0.250 0.010
F3 0.250 0.013 0.248

=====

Entry 5:
# AlAuOF2 | Alexandria via LeMat-Bulk | PBE | relaxed
# distance to the lowest polymorph of the same formula = 0.000 eV/atom
# formation energy (no corrections) = -1.866 eV/atom
data_AlAuOF2
_chemical_formula_sum 'Al1 Au1 O1 F2'
_space_group_name_H-M_alt 'P 4/m m m'
_space_group_IT_number 123
_space_group_name_Hall '-P 4 2'
_cell_length_a 3.874
_cell_length_b 3.874
_cell_length_c 3.746
_cell_angle_alpha 90.00
_cell_angle_beta 90.00
_cell_angle_gamma 90.00
loop_
_atom_site_label
_atom_site_fract_x
_atom_site_fract_y
_atom_site_fract_z
Al1 0.000 0.000 0.000
Au1 0.500 0.500 0.500
O1 0.000 0.000 0.500
F1 0.000 0.500 0.000

=====

Entry 6:
# K3Ag9Sb4S12 | Alexandria via LeMat-Bulk | PBE | relaxed
# formation energy (no corrections) = -0.366 eV/atom
data_K3Ag9Sb4S12
_chemical_formula_sum 'K6 Ag18 Sb8 S24'
_space_group_name_H-M_alt 'I -4'
_space_group_IT_number 82
_cell_length_a 10.988
_cell_length_b 10.988
_cell_length_c 11.774
_cell_angle_alpha 90.00
_cell_angle_beta 90.00
_cell_angle_gamma 90.00
loop_
_space_group_symop_operation_xyz
'x,y,z'
'y,-x,-z'
'-x,-y,z'
'-y,x,-z'
'x+1/2,y+1/2,z+1/2'
'y+1/2,-x+1/2,-z+1/2'
'-x+1/2,-y+1/2,z+1/2'
'-y+1/2,x+1/2,-z+1/2'
loop_
_atom_site_label
_atom_site_fract_x
_atom_site_fract_y
_atom_site_fract_z
K1 0.000 0.000 0.000
K2 0.000 0.000 0.335
Ag1 0.000 0.500 0.250
Ag2 0.158 0.668 0.672
Ag3 0.171 0.684 0.330
Sb1 0.114 0.377 0.513
S1 0.042 0.753 0.839
S2 0.043 0.727 0.154
S3 0.165 0.817 0.502